Record 1
Compound: K2TlPb
Source: the Alexandria database
Functional: SCAN
Structure: PBEsol geometry

Density of states at the Fermi level in states/eV per cell: 4.6
ΔE_f in eV per formula unit: -0.99
Energy relative to the lowest polymorph listed for this composition in kcal/mol of atoms: 0.154

a b c (Å): 4.1014 6.0237 11.8585
angles (deg): 90.00 90.00 90.00
Space group Imm2 (No. 44)
Unique sites:
K: 0.0000 0.0000 0.0000 (multiplicity 2)
K: 0.0000 0.5000 0.2013 (multiplicity 2)
Tl: 0.0000 0.0000 0.4476 (multiplicity 2)
Pb: 0.0000 0.5000 0.7602 (multiplicity 2)



Record 2
Compound: KTl2Pb
Source: the Alexandria database
Functional: SCAN
Structure: PBEsol geometry

Density of states at the Fermi level in states/eV per cell: 1.6
ΔE_f in eV per formula unit: -0.72

a b c (Å): 3.9091 3.9091 8.2073
angles (deg): 90.00 90.00 90.00
Space group P4/mmm (No. 123)
Unique sites:
K: 0.0000 0.0000 0.0000 (multiplicity 1)
Tl: 0.5000 0.5000 0.2835 (multiplicity 2)
Pb: 0.0000 0.0000 0.5000 (multiplicity 1)



Record 3
Compound: KTlPb
Source: the Alexandria database
Functional: SCAN
Structure: PBEsol geometry

Density of states at the Fermi level in states/eV per cell: 2.3
ΔE_f in eV per formula unit: -0.64
Energy relative to the lowest polymorph listed for this composition in kcal/mol of atoms: 1.828

a b c (Å): 3.5341 3.6901 14.6335
angles (deg): 90.00 90.00 90.00
Space group Imm2 (No. 44)
Unique sites:
K: 0.0000 0.0000 0.0000 (multiplicity 2)
Tl: 0.0000 0.0000 0.3250 (multiplicity 2)
Pb: 0.0000 0.0000 0.6838 (multiplicity 2)



Record 4
Compound: K2TlPb
Source: the Alexandria database
Functional: SCAN
Structure: PBEsol geometry

Density of states at the Fermi level in states/eV per cell: 3.7
ΔE_f in eV per formula unit: -1.02
Energy relative to the lowest polymorph listed for this composition in kcal/mol of atoms: 0.000

a b c (Å): 5.6832 5.6832 8.0607
angles (deg): 90.00 90.00 90.00
Space group I-4m2 (No. 119)
Unique sites:
K: 0.0000 0.0000 0.0000 (multiplicity 2)
K: 0.0000 0.5000 0.2500 (multiplicity 2)
Tl: 0.0000 0.5000 0.7500 (multiplicity 2)
Pb: 0.0000 0.0000 0.5000 (multiplicity 2)



Record 5
Compound: KTl2Pb
Source: the Alexandria database
Functional: SCAN
Structure: PBEsol geometry

Density of states at the Fermi level in states/eV per cell: 2.0
ΔE_f in eV per formula unit: -0.57

a b c (Å): 3.6237 4.4484 7.7671
angles (deg): 90.00 90.00 90.00
Space group Pmm2 (No. 25)
Unique sites:
K: 0.0000 0.0000 0.0000 (multiplicity 1)
Tl: 0.0000 0.0000 0.5027 (multiplicity 1)
Tl: 0.5000 0.5000 0.7123 (multiplicity 1)
Pb: 0.5000 0.5000 0.2996 (multiplicity 1)



Record 6
Compound: KTlPb4
Source: the Alexandria database
Functional: SCAN
Structure: PBEsol geometry

Density of states at the Fermi level in states/eV per cell: 9.0
ΔE_f in eV per formula unit: -0.80

a b c (Å): 9.1896 9.1896 9.1896
angles (deg): 90.00 90.00 90.00
Space group F-43m (No. 216)
Unique sites:
K: 0.0000 0.0000 0.0000 (multiplicity 4)
Tl: 0.2500 0.2500 0.7500 (multiplicity 4)
Pb: 0.1250 0.1250 0.3750 (multiplicity 16)



Record 7
Compound: KTl2Pb
Source: the Alexandria database
Functional: SCAN
Structure: PBEsol geometry

Density of states at the Fermi level in states/eV per cell: 5.1
ΔE_f in eV per formula unit: -0.52

a b c (Å): 7.8103 7.8103 7.8103
angles (deg): 90.00 90.00 90.00
Space group F-43m (No. 216)
Unique sites:
K: 0.0000 0.0000 0.0000 (multiplicity 4)
Tl: 0.0000 0.0000 0.5000 (multiplicity 4)
Tl: 0.2500 0.2500 0.2500 (multiplicity 4)
Pb: 0.2500 0.2500 0.7500 (multiplicity 4)



Record 8
Compound: KTl2Pb
Source: the Alexandria database
Functional: SCAN
Structure: PBEsol geometry

Density of states at the Fermi level in states/eV per cell: 4.0
ΔE_f in eV per formula unit: -0.42

a b c (Å): 3.9844 5.6622 11.0022
angles (deg): 90.00 90.00 90.00
Space group Imm2 (No. 44)
Unique sites:
K: 0.0000 0.0000 0.0000 (multiplicity 2)
Tl: 0.0000 0.0000 0.4988 (multiplicity 2)
Tl: 0.0000 0.5000 0.2329 (multiplicity 2)
Pb: 0.0000 0.5000 0.7682 (multiplicity 2)



Record 9
Compound: K2TlPb
Source: the Alexandria database
Functional: SCAN
Structure: PBEsol geometry

Density of states at the Fermi level in states/eV per cell: 2.1
ΔE_f in eV per formula unit: -0.64
Energy relative to the lowest polymorph listed for this composition in kcal/mol of atoms: 2.170

a b c (Å): 3.9984 3.9984 9.9962
angles (deg): 90.00 90.00 90.00
Space group P4mm (No. 99)
Unique sites:
K: 0.0000 0.0000 0.0000 (multiplicity 1)
K: 0.5000 0.5000 0.3872 (multiplicity 1)
Tl: 0.5000 0.5000 0.7815 (multiplicity 1)
Pb: 0.0000 0.0000 0.6182 (multiplicity 1)



Record 10
Compound: KTlPb2
Source: the Alexandria database
Functional: SCAN
Structure: PBEsol geometry

Density of states at the Fermi level in states/eV per cell: 4.0
ΔE_f in eV per formula unit: -0.78
Energy relative to the lowest polymorph listed for this composition in kcal/mol of atoms: 0.000

a b c (Å): 7.8975 7.8975 7.8975
angles (deg): 90.00 90.00 90.00
Space group F-43m (No. 216)
Unique sites:
K: 0.0000 0.0000 0.0000 (multiplicity 4)
Tl: 0.2500 0.2500 0.7500 (multiplicity 4)
Pb: 0.0000 0.0000 0.5000 (multiplicity 4)
Pb: 0.2500 0.2500 0.2500 (multiplicity 4)



Record 11
Compound: K2TlPb
Source: the Alexandria database
Functional: SCAN
Structure: PBEsol geometry

Density of states at the Fermi level in states/eV per cell: 9.0
ΔE_f in eV per formula unit: -0.12
Energy relative to the lowest polymorph listed for this composition in kcal/mol of atoms: 5.200

a b c (Å): 3.6703 3.6703 35.5344
angles (deg): 90.00 90.00 120.00
Space group R-3m (No. 166, hexagonal axes)
Unique sites:
K: 0.0000 0.0000 0.2505 (multiplicity 6)
Tl: 0.0000 0.0000 0.5000 (multiplicity 3)
Pb: 0.0000 0.0000 0.0000 (multiplicity 3)



Record 12
Compound: KTlPb
Source: the Alexandria database
Functional: SCAN
Structure: PBEsol geometry

Density of states at the Fermi level in states/eV per cell: 1.5
ΔE_f in eV per formula unit: -0.88
Energy relative to the lowest polymorph listed for this composition in kcal/mol of atoms: 0.000

a b c (Å): 4.8894 4.8894 8.7004
angles (deg): 90.00 90.00 90.00
Space group P4/nmm (No. 129, origin choice 2)
Unique sites:
K: 0.2500 0.2500 0.1644 (multiplicity 2)
Tl: 0.2500 0.2500 0.7406 (multiplicity 2)
Pb: 0.2500 0.7500 0.5000 (multiplicity 2)



Record 13
Compound: KTl2Pb
Source: the Alexandria database
Functional: SCAN
Structure: PBEsol geometry

Density of states at the Fermi level in states/eV per cell: 2.4
ΔE_f in eV per formula unit: -0.55

a b c (Å): 10.4339 3.5438 6.9880
angles (deg): 90.00 97.87 90.00
Space group Cm (No. 8)
Unique sites:
K: 0.0000 0.0000 0.0000 (multiplicity 2)
Tl: 0.0008 0.5000 0.4939 (multiplicity 2)
Tl: 0.2530 0.5000 0.2932 (multiplicity 2)
Pb: 0.2446 0.0000 0.6992 (multiplicity 2)



Record 14
Compound: KTlPb2
Source: the Alexandria database
Functional: SCAN
Structure: PBEsol geometry

Density of states at the Fermi level in states/eV per cell: 3.3
ΔE_f in eV per formula unit: -0.52
Energy relative to the lowest polymorph listed for this composition in kcal/mol of atoms: 1.493

a b c (Å): 11.0935 3.4581 6.7214
angles (deg): 90.00 96.55 90.00
Space group C2/m (No. 12)
Unique sites:
K: 0.0000 0.0000 0.0000 (multiplicity 2)
Tl: 0.0000 0.5000 0.5000 (multiplicity 2)
Pb: 0.2473 0.0000 0.7016 (multiplicity 4)



Record 15
Compound: KTl2Pb
Source: the Alexandria database
Functional: SCAN
Structure: PBEsol geometry

Density of states at the Fermi level in states/eV per cell: 1.5
ΔE_f in eV per formula unit: -0.62

a b c (Å): 3.4788 5.1820 7.1765
angles (deg): 90.00 103.04 90.00
Space group Pm (No. 6)
Unique sites:
K: 0.0000 0.0000 0.0000 (multiplicity 1)
Tl: 0.3071 0.5000 0.7174 (multiplicity 1)
Tl: 0.4831 0.0000 0.5022 (multiplicity 1)
Pb: 0.7006 0.5000 0.2982 (multiplicity 1)



Record 16
Compound: KTlPb
Source: the Alexandria database
Functional: SCAN
Structure: PBEsol geometry

Density of states at the Fermi level in states/eV per cell: 2.3
ΔE_f in eV per formula unit: -0.64
Energy relative to the lowest polymorph listed for this composition in kcal/mol of atoms: 1.805

a b c (Å): 3.6085 3.6085 14.6542
angles (deg): 90.00 90.00 90.00
Space group I4mm (No. 107)
Unique sites:
K: 0.0000 0.0000 0.0000 (multiplicity 2)
Tl: 0.0000 0.0000 0.3252 (multiplicity 2)
Pb: 0.0000 0.0000 0.6837 (multiplicity 2)



Record 17
Compound: K2Tl2Pb
Source: the Alexandria database
Functional: SCAN
Structure: PBEsol geometry

Density of states at the Fermi level in states/eV per cell: 5.8
ΔE_f in eV per formula unit: 0.28
Energy relative to the lowest polymorph listed for this composition in kcal/mol of atoms: 5.820

a b c (Å): 4.6618 4.6618 15.6910
angles (deg): 90.00 90.00 90.00
Space group I4/mmm (No. 139)
Unique sites:
K: 0.0000 0.5000 0.2500 (multiplicity 4)
Tl: 0.0000 0.0000 0.0910 (multiplicity 4)
Pb: 0.0000 0.0000 0.5000 (multiplicity 2)



Record 18
Compound: KTlPb2
Source: the Alexandria database
Functional: SCAN
Structure: PBEsol geometry

Density of states at the Fermi level in states/eV per cell: 2.2
ΔE_f in eV per formula unit: -0.72
Energy relative to the lowest polymorph listed for this composition in kcal/mol of atoms: 0.350

a b c (Å): 4.0471 4.0471 7.9499
angles (deg): 90.00 90.00 90.00
Space group P4mm (No. 99)
Unique sites:
K: 0.0000 0.0000 0.0000 (multiplicity 1)
Tl: 0.5000 0.5000 0.7135 (multiplicity 1)
Pb: 0.0000 0.0000 0.5007 (multiplicity 1)
Pb: 0.5000 0.5000 0.3016 (multiplicity 1)



Record 19
Compound: KTlPb2
Source: the Alexandria database
Functional: SCAN
Structure: PBEsol geometry

Density of states at the Fermi level in states/eV per cell: 3.6
ΔE_f in eV per formula unit: -0.63
Energy relative to the lowest polymorph listed for this composition in kcal/mol of atoms: 0.870

a b c (Å): 10.9621 3.4686 6.6841
angles (deg): 90.00 97.52 90.00
Space group Cm (No. 8)
Unique sites:
K: 0.0000 0.0000 0.0000 (multiplicity 2)
Tl: 0.2525 0.5000 0.2751 (multiplicity 2)
Pb: 0.2440 0.0000 0.7058 (multiplicity 2)
Pb: 0.4983 0.0000 0.4975 (multiplicity 2)



Record 20
Compound: KTlPb2
Source: the Alexandria database
Functional: SCAN
Structure: PBEsol geometry

Density of states at the Fermi level in states/eV per cell: 1.8
ΔE_f in eV per formula unit: -0.52
Energy relative to the lowest polymorph listed for this composition in kcal/mol of atoms: 1.498

a b c (Å): 3.4134 5.6174 6.8310
angles (deg): 90.00 99.95 90.00
Space group P2/m (No. 10)
Unique sites:
K: 0.0000 0.0000 0.0000 (multiplicity 1)
Tl: 0.5000 0.0000 0.5000 (multiplicity 1)
Pb: 0.3106 0.5000 0.7094 (multiplicity 2)